ZrTi5C6 | the Alexandria database | GGA-PBE | optimized geometry; symmetry = C2/m; DOS(E_F) = 2.09 states/eV per cell
1.0
-1.717 5.095 -0.521
-3.175 1.272 4.183
2.147 2.138 4.469
C Zr Ti
6 1 5
direct
0.744 0.085 0.342
0.256 0.572 0.342
0.255 0.257 0.000
0.745 0.743 0.000
0.744 0.428 0.658
0.256 0.915 0.658
0.000 0.000 0.000
0.500 0.167 0.666
0.000 0.333 0.333
0.500 0.500 0.000
0.000 0.667 0.667
0.500 0.833 0.334

YAlSn | the Alexandria database | GGA-PBE | optimized geometry; symmetry = P3m1; DOS(E_F) = 0.61 states/eV per cell
1.0
-3.976 1.019 -0.045
-0.825 -3.077 3.199
1.071 4.230 1.159
Y Sn Al
1 1 1
direct
0.678 0.667 0.333
0.218 0.333 0.667
0.104 0.000 0.000

Li6HgPd | the Alexandria database | GGA-PBE | optimized geometry; symmetry = P-6m2; DOS(E_F) = 2.04 states/eV per cell
1.0
-0.237 2.425 -3.887
-2.648 -4.376 -2.569
-3.065 4.015 2.692
Li Hg Pd
6 1 1
direct
0.000 0.088 0.419
0.000 0.581 0.912
0.000 0.581 0.419
0.500 0.394 0.073
0.500 0.927 0.606
0.500 0.927 0.073
0.500 0.417 0.583
0.000 0.083 0.917

NiHRu2Rh | the Alexandria database | GGA-PBE | optimized geometry; symmetry = P4/mmm; DOS(E_F) = 7.27 states/eV per cell
1.0
-0.537 -3.794 0.102
3.780 -0.525 0.362
-0.344 0.151 3.802
Ru Rh H Ni
2 1 1 1
direct
0.000 0.500 0.000
0.500 0.000 0.000
0.500 0.500 0.500
0.000 0.000 0.000
0.000 0.000 0.500

Ba3Se | the Alexandria database | GGA-PBE | optimized geometry; symmetry = I4/mmm; DOS(E_F) = 4.63 states/eV per cell
1.0
-6.469 2.014 3.261
-5.729 -4.808 0.775
7.410 0.358 1.225
Ba Se
3 1
direct
0.250 0.750 0.500
0.500 0.500 0.000
0.750 0.250 0.500
0.000 0.000 0.000

PAu2SeN | the Alexandria database | GGA-PBE | optimized geometry; symmetry = P4/mmm; DOS(E_F) = 2.68 states/eV per cell
1.0
4.709 0.000 0.000
0.000 5.142 0.000
0.000 0.000 4.709
P Au Se N
1 2 1 1
direct
0.000 0.000 0.000
0.000 0.000 0.500
0.500 0.000 0.000
0.000 0.500 0.000
0.500 0.500 0.500

Pm2Dy3Se8 | the Alexandria database | GGA-PBE | optimized geometry; symmetry = C2/m; DOS(E_F) = 6.52 states/eV per cell
1.0
7.042 0.000 0.207
0.000 8.301 0.000
-2.614 -4.150 6.736
Pm Dy Se
2 3 8
direct
0.338 0.260 0.519
0.662 0.740 0.481
0.500 0.000 0.000
0.000 0.261 0.000
0.000 0.739 0.000
0.922 0.621 0.242
0.078 0.379 0.758
0.921 0.116 0.231
0.079 0.884 0.769
0.588 0.642 0.758
0.588 0.116 0.758
0.412 0.884 0.242
0.412 0.358 0.242

HoTm8Cd6 | the Alexandria database | GGA-PBE | optimized geometry; symmetry = R-3; DOS(E_F) = 16.53 states/eV per cell
1.0
-4.687 -7.311 1.779
4.085 -7.249 3.059
-1.079 -2.849 7.535
Ho Tm Cd
1 8 6
direct
0.000 0.000 0.000
0.551 0.218 0.347
0.782 0.116 0.653
0.116 0.449 0.653
0.666 0.666 0.001
0.334 0.334 0.999
0.884 0.551 0.347
0.218 0.884 0.347
0.449 0.782 0.653
0.387 0.053 0.841
0.947 0.281 0.159
0.281 0.613 0.159
0.719 0.387 0.841
0.053 0.719 0.841
0.613 0.947 0.159

KAg2SbS3 | the Alexandria database | GGA-PBE | optimized geometry; symmetry = P-1; DOS(E_F) = 0.00 states/eV per cell
1.0
-1.081 -0.291 -6.774
9.125 -2.434 -1.319
-2.874 -10.582 1.391
K Ag Sb S
4 8 4 12
direct
0.293 0.570 0.631
0.707 0.430 0.369
0.201 0.421 0.127
0.799 0.579 0.873
0.519 0.732 0.142
0.481 0.268 0.858
0.096 0.832 0.047
0.904 0.168 0.953
0.003 0.108 0.337
0.997 0.892 0.663
0.412 0.160 0.552
0.588 0.840 0.448
0.526 0.055 0.147
0.474 0.945 0.853
0.049 0.795 0.342
0.951 0.205 0.658
0.630 0.087 0.362
0.370 0.913 0.638
0.356 0.659 0.335
0.644 0.341 0.665
0.633 0.288 0.076
0.367 0.712 0.924
0.165 0.083 0.137
0.835 0.917 0.863
0.887 0.696 0.517
0.113 0.304 0.483
0.881 0.666 0.169
0.119 0.334 0.831

UCu2Rh5 | the Alexandria database | GGA-PBE | optimized geometry; symmetry = I4/mmm; DOS(E_F) = 6.07 states/eV per cell
1.0
3.917 0.000 -1.077
-0.296 3.906 -1.077
0.016 0.018 7.723
U Cu Rh
1 2 5
direct
0.000 0.000 0.000
0.748 0.748 0.497
0.252 0.252 0.503
0.500 0.500 0.000
0.868 0.368 0.737
0.368 0.868 0.737
0.132 0.632 0.263
0.632 0.132 0.263

BeAsW3 | the Alexandria database | GGA-PBE | optimized geometry; symmetry = Pm-3m; DOS(E_F) = 3.60 states/eV per cell
1.0
-2.975 -2.409 -1.867
2.203 -3.503 1.010
-2.107 -0.261 3.693
Be As W
1 1 3
direct
0.000 0.000 0.000
0.500 0.500 0.500
0.000 0.500 0.000
0.000 0.000 0.500
0.500 0.000 0.000

NaTc2ClF | the Alexandria database | GGA-PBE | optimized geometry; symmetry = P4/mmm; DOS(E_F) = 1.50 states/eV per cell
1.0
4.111 0.000 0.000
0.000 6.051 0.000
0.000 0.000 4.111
Na F Tc Cl
1 1 2 1
direct
0.500 0.500 0.500
0.000 0.000 0.000
0.000 0.000 0.500
0.500 0.000 0.000
0.000 0.500 0.000

Number 1: calculated total energy -112.542 eV per cell. Number 2: calculated total energy -15.540 eV per cell. Number 3: calculated total energy -19.115 eV per cell. Number 4: calculated total energy -34.183 eV per cell. Number 5: calculated total energy -11.198 eV per cell. Number 6: calculated total energy -17.060 eV per cell. Number 7: calculated total energy -73.634 eV per cell. Number 8: calculated total energy -46.635 eV per cell. Number 9: calculated total energy -105.680 eV per cell. Number 10: calculated total energy -58.955 eV per cell. Number 11: calculated total energy -41.784 eV per cell. Number 12: calculated total energy -24.158 eV per cell.